## TlTcSnS2 (PBE)

Data for TlTcSnS2 after structural relaxation.

Values from the calculation:
**Crystal system**: tetragonal
**Energy relative to the elements, uncorrected**: 1.395 eV per atom
**Space-group type**: P4/mmm (123)

Lattice parameters (Å, degrees): 5.026 5.026 5.823 90.00 90.00 90.00
Element x y z (fractional)
1 Tl 0.000 0.000 0.000
2 Tc 0.500 0.500 0.500
3 Sn 0.000 0.000 0.500
4 S 0.000 0.500 0.000
5 S 0.500 0.000 0.000